Record 1
Density functional theory data (GGA-PBE) for crystalline SiTcAg at its relaxed geometry.

It has space group I4mm (No. 107), with a = 3.070 Å, b = 3.070 Å, c = 9.887 Å, α = 90.00°, β = 90.00° and γ = 90.00°. The distinct sites, in fractional coordinates, are Si at (0.000, 0.000, 0.000), Tc at (0.000, 0.000, 0.610) and Ag at (0.000, 0.000, 0.313).

The uncorrected formation energy is 0.184 eV per atom. The calculation puts the density of states at the Fermi level at 5.6 states/eV per cell. The calculation puts the offset from the most stable computed form at 15 meV per atom. As for the total energy: -18.1 eV/f.u.


Record 2
Density functional theory data (GGA-PBE) for crystalline SiTc2Ag at its relaxed geometry.

It has space group Imm2 (No. 44), with a = 3.028 Å, b = 4.407 Å, c = 8.725 Å, α = 90.00°, β = 90.00° and γ = 90.00°. The distinct sites, in fractional coordinates, are Si at (0.000, 0.000, 0.000), Tc at (0.000, 0.000, 0.484), Tc at (0.000, 0.500, 0.722) and Ag at (0.000, 0.500, 0.262).

The uncorrected formation energy is 0.190 eV per atom. The calculation puts the density of states at the Fermi level at 5.5 states/eV per cell. As for the total energy: -28.2 eV/f.u.


Record 3
Density functional theory data (GGA-PBE) for crystalline SiTc2Ag at its relaxed geometry.

It has space group C2/m (No. 12), with a = 5.390 Å, b = 8.673 Å, c = 2.704 Å, α = 90.00°, β = 108.97° and γ = 90.00°. The distinct sites, in fractional coordinates, are Si at (0.000, 0.000, 0.000), Tc at (0.250, 0.250, 0.500) and Ag at (0.000, 0.500, 0.000).

The uncorrected formation energy is 0.409 eV per atom. The calculation puts the density of states at the Fermi level at 7.6 states/eV per cell. As for the total energy: -27.4 eV/f.u.


Record 4
Density functional theory data (GGA-PBE) for crystalline SiTc4Ag at its relaxed geometry.

It has space group F-43m (No. 216), with a = 7.250 Å, b = 7.250 Å, c = 7.250 Å, α = 90.00°, β = 90.00° and γ = 90.00°. The distinct sites, in fractional coordinates, are Si at (0.000, 0.000, 0.000), Tc at (0.125, 0.125, 0.625) and Ag at (0.250, 0.250, 0.250).

The uncorrected formation energy is 0.606 eV per atom. The calculation puts the density of states at the Fermi level at 24.6 states/eV per cell. As for the total energy: -46.1 eV/f.u.


Record 5
Density functional theory data (GGA-PBE) for crystalline SiTcAg at its relaxed geometry.

It has space group P3m1 (No. 156), with a = 2.8801 Å, b = 2.8801 Å, c = 6.4785 Å, α = 90.00°, β = 90.00° and γ = 120.00°. The distinct sites, in fractional coordinates, are Si at (0.0000, 0.0000, 0.0000), Tc at (0.3333, 0.6667, 0.2769) and Ag at (0.6667, 0.3333, 0.6540).

The uncorrected formation energy is 0.169 eV per atom. The calculation puts the density of states at the Fermi level at 0.8 states/eV per cell. The calculation puts the offset from the most stable computed form at 0 meV per atom. As for the total energy: -18.1 eV/f.u.


Record 6
Density functional theory data (GGA-PBE) for crystalline SiTc2Ag at its relaxed geometry.

It has space group R-3m (No. 166, hexagonal axes), with a = 2.8071 Å, b = 2.8071 Å, c = 26.2253 Å, α = 90.00°, β = 90.00° and γ = 120.00°. The distinct sites, in fractional coordinates, are Si at (0.0000, 0.0000, 0.0000), Tc at (0.0000, 0.0000, 0.2595) and Ag at (0.0000, 0.0000, 0.5000).

The uncorrected formation energy is 0.133 eV per atom. The calculation puts the density of states at the Fermi level at 14.2 states/eV per cell. As for the total energy: -28.5 eV/f.u.


Record 7
Density functional theory data (GGA-PBE) for crystalline SiTc2Ag at its relaxed geometry.

It has space group Immm (No. 71), with a = 2.916 Å, b = 4.459 Å, c = 9.241 Å, α = 90.00°, β = 90.00° and γ = 90.00°. The distinct sites, in fractional coordinates, are Si at (0.000, 0.000, 0.000), Tc at (0.000, 0.500, 0.287) and Ag at (0.000, 0.000, 0.500).

The uncorrected formation energy is 0.152 eV per atom. The calculation puts the density of states at the Fermi level at 5.9 states/eV per cell. As for the total energy: -28.4 eV/f.u.


Record 8
Density functional theory data (GGA-PBE) for crystalline SiTc2Ag at its relaxed geometry.

It has space group P4/mmm (No. 123), with a = 2.958 Å, b = 2.958 Å, c = 6.764 Å, α = 90.00°, β = 90.00° and γ = 90.00°. The distinct sites, in fractional coordinates, are Si at (0.000, 0.000, 0.000), Tc at (0.500, 0.500, 0.203) and Ag at (0.000, 0.000, 0.500).

The uncorrected formation energy is 0.062 eV per atom. The calculation puts the density of states at the Fermi level at 3.7 states/eV per cell. As for the total energy: -28.8 eV/f.u.